#a
Compound: Pr3Nd3Sm2
Source: the Alexandria database
Functional: PBE-GGA
Structure: relaxed

Calculated values
crystal system	monoclinic
total moment	0.00	μB/f.u.
DOS at the Fermi energy	13.063	states/eV per cell

Structure (extended XYZ):
```
8
Lattice="10.7128 -2.6029 0.0000 10.7128 2.6029 0.0000 -1.2607 0.0000 5.0515" Properties=species:S:1:pos:R:3 pbc="T T T"
Pr 0.0000 0.0000 0.0000
Pr 1.9118 0.0000 3.1626
Pr 18.2531 0.0000 1.8889
Nd 6.9069 0.0000 4.4139
Nd 10.0824 0.0000 2.5257
Nd 13.2580 0.0000 0.6376
Sm 5.0383 0.0000 1.2621
Sm 15.1265 0.0000 3.7893
```



#b
Compound: Pr3Nd3Sm2
Source: the Alexandria database
Functional: PBE-GGA
Structure: relaxed

Calculated values
crystal system	monoclinic
total moment	0.00	μB/f.u.
DOS at the Fermi energy	23.218	states/eV per cell

Structure (extended XYZ):
```
16
Lattice="5.6955 0.0000 0.0000 0.0000 16.6124 0.0000 -2.8336 0.0000 6.0741" Properties=species:S:1:pos:R:3 pbc="T T T"
Pr 0.0081 4.1531 0.4587
Pr 0.0092 9.1429 1.4731
Pr 0.0092 15.7757 1.4731
Pr 2.8526 0.8367 4.6011
Pr 2.8526 7.4695 4.6011
Pr 2.8537 12.4593 5.6155
Nd 0.0162 12.4593 2.8989
Nd 0.0099 9.8494 5.1713
Nd 0.0099 15.0691 5.1713
Nd 2.8520 1.5432 0.9028
Nd 2.8520 6.7630 0.9028
Nd 2.8456 4.1531 3.1752
Sm 0.0010 2.1894 3.3389
Sm 0.0010 6.1168 3.3389
Sm 2.8608 10.4956 2.7353
Sm 2.8608 14.4230 2.7353
```



Which one is most stable, and which one is least stable? #a is the most stable of them, while #b is the least stable.



#a
Compound: Pr2Nd2Sm5
Source: the Alexandria database
Functional: PBE-GGA
Structure: relaxed

Calculated values
crystal system	orthorhombic
total moment	0.00	μB/f.u.
DOS at the Fermi energy	28.873	states/eV per cell

Structure (extended XYZ):
```
18
Lattice="-7.5780 6.0582 3.4347 7.5780 -6.0582 3.4347 7.5780 6.0582 -3.4347" Properties=species:S:1:pos:R:3 pbc="T T T"
Pr 0.0000 0.0000 0.0000
Pr 7.5780 0.0000 0.0000
Pr 11.3669 -0.0599 0.4939
Pr 3.7890 0.0599 0.4939
Nd 1.9115 6.0288 0.2524
Nd 5.6664 6.0288 0.2524
Nd 1.9115 0.0294 3.6871
Nd 5.6664 0.0294 3.6871
Sm 2.1638 2.8193 -0.9237
Sm 5.4142 2.8193 -0.9237
Sm 3.7890 -2.8723 2.6537
Sm -0.8055 2.9939 1.2549
Sm 8.3835 2.9939 1.2549
Sm 3.7890 8.9305 -0.7810
Sm 2.1638 3.2390 2.5110
Sm 5.4142 3.2390 2.5110
Sm 0.8055 9.1226 1.2549
Sm -0.8055 3.0644 4.6896
```



#b
Compound: Pr2Nd2Sm5
Source: the Alexandria database
Functional: PBE-GGA
Structure: relaxed

Calculated values
crystal system	monoclinic
total moment	0.00	μB/f.u.
DOS at the Fermi energy	15.449	states/eV per cell

Structure (extended XYZ):
```
9
Lattice="8.9811 -1.7719 0.0000 8.9811 1.7719 0.0000 -1.4982 0.0000 9.9229" Properties=species:S:1:pos:R:3 pbc="T T T"
Pr 2.6002 0.0000 2.2344
Pr 13.8639 0.0000 7.6885
Nd 8.4258 0.0000 3.1015
Nd 8.0383 0.0000 6.8213
Sm 0.0000 0.0000 0.0000
Sm 1.8347 0.0000 8.6173
Sm 5.2311 0.0000 4.5757
Sm 11.2329 0.0000 5.3472
Sm 14.6294 0.0000 1.3056
```



Which one is most stable, and which one is least stable? #b is the most stable of them, while #a is the least stable.



#a
Compound: Pr2Nd3Sm2
Source: the Alexandria database
Functional: PBE-GGA
Structure: relaxed

Calculated values
crystal system	monoclinic
total moment	0.00	μB/f.u.
DOS at the Fermi energy	9.688	states/eV per cell

Structure (extended XYZ):
```
7
Lattice="8.9436 -1.7865 0.0000 8.9436 1.7865 0.0000 -4.2771 0.0000 7.7574" Properties=species:S:1:pos:R:3 pbc="T T T"
Pr 1.2108 0.0000 2.5556
Pr 12.3992 0.0000 5.2018
Nd -2.1385 0.0000 3.8787
Nd 0.3770 0.0000 6.2355
Nd 13.2330 0.0000 1.5219
Sm 7.3890 0.0000 0.7244
Sm 6.2210 0.0000 7.0330
```



#b
Compound: Pr2Nd3Sm2
Source: the Alexandria database
Functional: PBE-GGA
Structure: relaxed

Calculated values
crystal system	triclinic
total moment	0.00	μB/f.u.
DOS at the Fermi energy	22.212	states/eV per cell

Structure (extended XYZ):
```
14
Lattice="6.3629 0.0000 0.0000 -1.0428 6.2843 0.0000 -2.1415 -2.4902 12.2989" Properties=species:S:1:pos:R:3 pbc="T T T"
Pr 0.0061 1.6242 0.8837
Pr -1.0542 3.6028 8.7821
Pr 4.2328 0.1914 3.5168
Pr 3.1725 2.1699 11.4152
Nd -1.0621 0.3772 7.0309
Nd 0.0102 4.8480 2.6439
Nd 3.1814 0.0000 0.0000
Nd 2.1107 -1.2451 6.1494
Nd 3.1684 -1.0538 9.6550
Nd 4.2407 3.4170 5.2679
Sm -0.0019 0.5572 10.5408
Sm 1.0626 1.8089 4.4007
Sm 2.1160 1.9853 7.8981
Sm 3.1805 3.2370 1.7580
```



Which one is most stable, and which one is least stable? #b is the most stable of them, while #a is the least stable.



#a
Compound: Pr3Nd2Sm6
Source: the Alexandria database
Functional: PBE-GGA
Structure: relaxed

Calculated values
crystal system	tetragonal
total moment	0.00	μB/f.u.
DOS at the Fermi energy	14.812	states/eV per cell

Structure (extended XYZ):
```
11
Lattice="-2.4333 2.4333 16.9030 2.4333 -2.4333 16.9030 2.4333 2.4333 -16.9030" Properties=species:S:1:pos:R:3 pbc="T T T"
Pr 0.0000 0.0000 0.0000
Pr 0.0000 0.0000 6.8657
Pr 0.0000 0.0000 26.9403
Nd 0.0000 0.0000 15.3584
Nd 0.0000 0.0000 18.4476
Sm 2.4333 0.0000 4.0565
Sm 0.0000 0.0000 10.3304
Sm 2.4333 0.0000 12.8465
Sm 0.0000 2.4333 4.0565
Sm 0.0000 0.0000 23.4756
Sm 0.0000 2.4333 12.8465
```



#b
Compound: Pr3Nd2Sm6
Source: the Alexandria database
Functional: PBE-GGA
Structure: relaxed

Calculated values
crystal system	triclinic
total moment	0.00	μB/f.u.
DOS at the Fermi energy	16.005	states/eV per cell

Structure (extended XYZ):
```
11
Lattice="6.3499 0.0000 0.0000 -2.0993 7.8944 0.0000 -1.0376 -2.8199 7.6223" Properties=species:S:1:pos:R:3 pbc="T T T"
Pr 0.0000 0.0000 0.0000
Pr -1.0369 0.5714 6.2359
Pr 4.2499 4.5031 1.3864
Nd 1.0747 -0.5569 3.4694
Nd 2.1382 5.6315 4.1529
Sm -1.0298 3.9412 4.8546
Sm 1.0750 2.8148 2.0920
Sm 1.0795 6.2078 0.6921
Sm 2.1335 -1.1332 6.9302
Sm 2.1380 2.2598 5.5303
Sm 4.2428 1.1334 2.7677
```



Which one is most stable, and which one is least stable? #b is the most stable of them, while #a is the least stable.



#a
Compound: PrNd6Sm3
Source: the Alexandria database
Functional: PBE-GGA
Structure: relaxed

Calculated values
crystal system	trigonal
total moment	0.00	μB/f.u.
DOS at the Fermi energy	19.623	states/eV per cell

Structure (extended XYZ):
```
10
Lattice="5.0501 2.9157 4.0010 -5.0501 2.9157 4.0010 0.0000 -5.8313 4.0010" Properties=species:S:1:pos:R:3 pbc="T T T"
Pr 0.0000 0.0000 0.0000
Nd -1.6508 -2.9720 4.0010
Nd -3.2875 0.0000 6.0016
Nd -1.7485 2.9157 4.0010
Nd 1.6437 -2.8470 6.0016
Nd 3.3993 0.0564 4.0010
Nd 1.6437 2.8470 6.0016
Sm 0.0000 0.0000 3.0271
Sm 0.0000 0.0000 6.0016
Sm 0.0000 0.0000 8.9760
```



#b
Compound: PrNd6Sm3
Source: the Alexandria database
Functional: PBE-GGA
Structure: relaxed

Calculated values
crystal system	orthorhombic
total moment	0.00	μB/f.u.
DOS at the Fermi energy	27.728	states/eV per cell

Structure (extended XYZ):
```
20
Lattice="5.5505 -9.7269 0.0000 5.5505 9.7269 0.0000 0.0000 0.0000 6.4760" Properties=species:S:1:pos:R:3 pbc="T T T"
Pr 5.5505 6.0324 3.2380
Pr 5.5505 -6.0324 0.0000
Nd 5.5505 9.0592 4.8254
Nd 2.9367 4.0483 1.4840
Nd 5.5505 4.2513 6.1965
Nd 3.6724 0.7801 0.3249
Nd 3.6724 -0.7801 3.5629
Nd 2.9367 -4.0483 4.7220
Nd 8.1643 4.0483 1.4840
Nd 7.4286 0.7801 0.3249
Nd 7.4286 -0.7801 3.5629
Nd 5.5505 -4.2513 2.9585
Nd 8.1643 -4.0483 4.7220
Nd 5.5505 -9.0592 1.5873
Sm 1.9498 2.2834 4.1615
Sm 1.9498 -2.2834 0.9235
Sm 5.5505 2.2765 3.3252
Sm 5.5505 -2.2765 0.0872
Sm 9.1512 2.2834 4.1615
Sm 9.1512 -2.2834 0.9235
```



Which one is most stable, and which one is least stable? #b is the most stable of them, while #a is the least stable.